No. 1
Compound: MgBIr
Source: the Open Quantum Materials Database
Functional: PBE
Structure: relaxed

Output
- total DFT energy (no corrections) (eV per atom) = -5.788
- energy above the most stable polymorph in this dataset (meV per atom) = 264

a = 3.7922 Å, b = 3.7922 Å, c = 3.7922 Å
α = 60.00°, β = 60.00°, γ = 60.00°
Fractional positions:
B  0.0000  0.0000  0.0000
Ir  0.2500  0.2500  0.2500
Mg  0.7500  0.7500  0.7500



No. 2
Compound: MgB4Ir3
Source: the Open Quantum Materials Database
Functional: PBE
Structure: relaxed

Output
- total DFT energy (no corrections) (eV per atom) = -7.144

a = 5.9630 Å, b = 5.9630 Å, c = 9.6738 Å
α = 90.00°, β = 90.00°, γ = 149.56°
Fractional positions:
B  0.3410  0.6590  0.1065
B  0.8515  0.1485  0.2500
B  0.1300  0.8700  0.2500
B  0.3410  0.6590  0.3935
B  0.6590  0.3410  0.6065
B  0.8700  0.1300  0.7500
B  0.1485  0.8515  0.7500
B  0.6590  0.3410  0.8935
Ir  0.6993  0.3007  0.1097
Ir  0.4834  0.5166  0.2500
Ir  0.6993  0.3007  0.3903
Ir  0.3007  0.6993  0.6097
Ir  0.5166  0.4834  0.7500
Ir  0.3007  0.6993  0.8903
Mg  0.0000  0.0000  0.0000
Mg  0.0000  0.0000  0.5000



No. 3
Compound: MgBIr
Source: the Open Quantum Materials Database
Functional: PBE
Structure: relaxed

Output
- total DFT energy (no corrections) (eV per atom) = -6.052
- energy above the most stable polymorph in this dataset (meV per atom) = 0

a = 6.4308 Å, b = 3.5676 Å, c = 6.5920 Å
α = 90.00°, β = 90.00°, γ = 90.00°
Fractional positions:
B  0.3030  0.2500  0.1252
B  0.8030  0.2500  0.3748
B  0.1970  0.7500  0.6252
B  0.6970  0.7500  0.8748
Ir  0.6635  0.2500  0.0573
Ir  0.1635  0.2500  0.4427
Ir  0.8365  0.7500  0.5573
Ir  0.3365  0.7500  0.9427
Mg  0.9766  0.7500  0.1655
Mg  0.4766  0.7500  0.3345
Mg  0.5234  0.2500  0.6655
Mg  0.0234  0.2500  0.8345



No. 4
Compound: MgB4Ir
Source: the Open Quantum Materials Database
Functional: PBE
Structure: relaxed

Output
- total DFT energy (no corrections) (eV per atom) = -6.183
- energy above the most stable polymorph in this dataset (meV per atom) = 203

a = 4.5554 Å, b = 4.5554 Å, c = 4.5554 Å
α = 141.00°, β = 110.53°, γ = 82.65°
Fractional positions:
B  0.5925  0.2584  0.3342
B  0.0758  0.7416  0.3342
B  0.9242  0.2584  0.6658
B  0.4075  0.7416  0.6658
Ir  0.5000  0.5000  0.0000
Mg  0.0000  0.0000  0.0000